Below is a geometry-optimized AcSm10Y6 structure, with properties calculated at the PBE level.

Values from the calculation:
Its electronic total energy is -87.69 eV for the cell shown. Its total moment is 0.0 μB/f.u.

Lattice parameters (Å, degrees): 6.948 9.878 9.878 120.00 90.00 90.00
Fractional coordinates of all 17 atoms:
Sm (0.173, 0.718, 0.000)
Sm (0.000, 0.667, 0.333)
Sm (0.500, 0.667, 0.333)
Sm (0.500, 0.333, 0.667)
Sm (0.827, 0.000, 0.282)
Sm (0.827, 0.718, 0.718)
Sm (0.173, 0.000, 0.718)
Sm (0.000, 0.333, 0.667)
Sm (0.173, 0.282, 0.282)
Sm (0.827, 0.282, 0.000)
Ac (0.500, 0.000, 0.000)
Y (0.312, 0.000, 0.372)
Y (0.312, 0.372, 0.000)
Y (0.312, 0.628, 0.628)
Y (0.688, 0.628, 0.000)
Y (0.688, 0.000, 0.628)
Y (0.688, 0.372, 0.372)

***

Below is a geometry-optimized Nd8Sm2Sn structure, with properties calculated at the PBE level.

Values from the calculation:
Its electronic total energy is -51.63 eV for the cell shown. Its total moment is 0.0 μB/f.u.

Lattice parameters (Å, degrees): 7.464 8.383 8.383 48.22 104.53 104.53
Fractional coordinates of all 11 atoms:
Nd (0.953, 0.605, 0.605)
Nd (0.368, 0.335, 0.813)
Nd (0.047, 0.395, 0.395)
Nd (0.368, 0.813, 0.335)
Nd (0.235, 0.823, 0.823)
Nd (0.632, 0.187, 0.665)
Nd (0.765, 0.177, 0.177)
Nd (0.632, 0.665, 0.187)
Sm (0.728, 0.764, 0.764)
Sm (0.272, 0.236, 0.236)
Sn (0.000, 0.000, 0.000)

***

Below is a geometry-optimized Hf6InBi3 structure, with properties calculated at the PBE level.

Values from the calculation:
Its electronic total energy is -148.25 eV for the cell shown. Its total moment is 0.0 μB/f.u.

Lattice parameters (Å, degrees): 7.512 8.592 8.592 115.71 90.00 90.00
Fractional coordinates of all 20 atoms:
Hf (0.105, 0.785, 0.613)
Hf (0.304, 0.000, 0.439)
Hf (0.804, 0.000, 0.561)
Hf (0.522, 0.257, 0.743)
Hf (0.804, 0.439, 0.000)
Hf (0.022, 0.743, 0.257)
Hf (0.105, 0.387, 0.215)
Hf (0.304, 0.561, 0.000)
Hf (0.302, 0.946, 0.054)
Hf (0.802, 0.054, 0.946)
Hf (0.605, 0.613, 0.785)
Hf (0.605, 0.215, 0.387)
In (0.612, 0.815, 0.185)
In (0.112, 0.185, 0.815)
Bi (0.277, 0.425, 0.575)
Bi (0.978, 0.698, 0.889)
Bi (0.478, 0.302, 0.111)
Bi (0.478, 0.889, 0.698)
Bi (0.978, 0.111, 0.302)
Bi (0.777, 0.575, 0.425)

***

Below is a geometry-optimized LiCu3Ir structure, with properties calculated at the PBE level.

Values from the calculation:
The calculation puts the energy above the most stable polymorph in this dataset at 0.7874 eV per atom. Its total moment is 0.0 μB/f.u.

Lattice parameters (Å, degrees): 4.693 4.693 4.693 90.00 90.00 90.00
Fractional coordinates of all 5 atoms:
Cu (0.000, 0.000, 0.500)
Cu (0.500, 0.000, 0.000)
Cu (0.000, 0.500, 0.000)
Li (0.500, 0.500, 0.500)
Ir (0.000, 0.000, 0.000)

***

Below is a geometry-optimized LiPmSnSe3 structure, with properties calculated at the PBE level.

Values from the calculation:
The value obtained for the uncorrected formation energy is -1.20 eV per atom. Its total moment is 0.0 μB/f.u.

Lattice parameters (Å, degrees): 4.031 8.838 9.120 98.91 90.00 90.00
Fractional coordinates of all 12 atoms:
Se (0.750, 0.902, 0.126)
Se (0.250, 0.803, 0.538)
Se (0.750, 0.197, 0.462)
Se (0.250, 0.098, 0.874)
Se (0.250, 0.605, 0.855)
Se (0.750, 0.395, 0.145)
Sn (0.750, 0.344, 0.836)
Sn (0.250, 0.656, 0.164)
Li (0.750, 0.904, 0.412)
Li (0.250, 0.096, 0.588)
Pm (0.750, 0.838, 0.783)
Pm (0.250, 0.162, 0.217)

***

Below is a geometry-optimized Rb2TcCl6 structure, with properties calculated at the PBE level.

Values from the calculation:
The value obtained for the uncorrected formation energy is -1.36 eV per atom. Its total moment is 3.0 μB/f.u.

Lattice parameters (Å, degrees): 7.258 7.258 7.258 60.00 60.00 60.00
Fractional coordinates of all 9 atoms:
Cl (0.768, 0.232, 0.232)
Cl (0.768, 0.768, 0.232)
Cl (0.232, 0.232, 0.768)
Cl (0.232, 0.768, 0.232)
Cl (0.232, 0.768, 0.768)
Cl (0.768, 0.232, 0.768)
Rb (0.750, 0.750, 0.750)
Rb (0.250, 0.250, 0.250)
Tc (0.000, 0.000, 0.000)

***

Below is a geometry-optimized Np2AgGe4Pt3 structure, with properties calculated at the PBE level.

Values from the calculation:
Its electronic total energy is -69.45 eV for the cell shown. Its total moment is 7.9 μB/f.u.

Lattice parameters (Å, degrees): 4.327 4.327 10.292 90.00 90.00 90.00
Fractional coordinates of all 10 atoms:
Ge (0.500, 0.500, 0.000)
Ge (0.000, 0.500, 0.360)
Ge (0.500, 0.000, 0.640)
Ge (0.000, 0.000, 0.000)
Np (0.500, 0.000, 0.248)
Np (0.000, 0.500, 0.752)
Pt (0.000, 0.500, 0.124)
Pt (0.000, 0.000, 0.500)
Pt (0.500, 0.000, 0.876)
Ag (0.500, 0.500, 0.500)

***

Below is a geometry-optimized KPmPuBr6 structure, with properties calculated at the PBE level.

Values from the calculation:
The value obtained for the uncorrected formation energy is -1.71 eV per atom. Its total moment is 6.0 μB/f.u.

Lattice parameters (Å, degrees): 7.552 7.552 14.624 90.00 90.00 120.00
Fractional coordinates of all 18 atoms:
Br (0.358, 0.992, 0.635)
Br (0.366, 0.358, 0.365)
Br (0.634, 0.642, 0.635)
Br (0.642, 0.634, 0.135)
Br (0.642, 0.008, 0.365)
Br (0.358, 0.366, 0.865)
Br (0.634, 0.992, 0.865)
Br (0.008, 0.642, 0.865)
Br (0.992, 0.358, 0.135)
Br (0.992, 0.634, 0.365)
Br (0.366, 0.008, 0.135)
Br (0.008, 0.366, 0.635)
Pm (0.667, 0.333, 0.250)
Pm (0.333, 0.667, 0.750)
Pu (0.667, 0.333, 0.750)
Pu (0.333, 0.667, 0.250)
K (0.000, 0.000, 0.000)
K (0.000, 0.000, 0.500)

***

Below is a geometry-optimized Na3LaPm2Se6 structure, with properties calculated at the PBE level.

Values from the calculation:
The value obtained for the uncorrected formation energy is -1.71 eV per atom. Its total moment is 0.0 μB/f.u.

Lattice parameters (Å, degrees): 7.444 7.444 7.419 99.63 99.63 120.00
Fractional coordinates of all 12 atoms:
Na (0.500, 0.500, 0.500)
Na (0.167, 0.833, 0.500)
Na (0.833, 0.167, 0.500)
Pm (0.667, 0.333, 0.000)
Pm (0.333, 0.667, 0.000)
Se (0.417, 0.079, 0.235)
Se (0.740, 0.740, 0.236)
Se (0.583, 0.921, 0.765)
Se (0.260, 0.260, 0.764)
Se (0.921, 0.583, 0.765)
Se (0.079, 0.417, 0.235)
La (0.000, 0.000, 0.000)

***

Below is a geometry-optimized CuSi2Pt structure, with properties calculated at the PBE level.

Values from the calculation:
The calculation puts the energy above the most stable polymorph in this dataset at 0.0513 eV per atom. The value obtained for the uncorrected formation energy is -0.18 eV per atom. Its total moment is 0.0 μB/f.u.

Lattice parameters (Å, degrees): 3.405 3.401 4.894 90.00 90.00 90.00
Fractional coordinates of all 4 atoms:
Cu (0.000, 0.000, 0.462)
Si (0.000, 0.000, 0.976)
Si (0.500, 0.500, 0.279)
Pt (0.500, 0.500, 0.783)

***

Below is a geometry-optimized Ta2Be2Sn structure, with properties calculated at the PBE level.

Values from the calculation:
The calculation puts the energy above the most stable polymorph in this dataset at 0.6443 eV per atom. Its total moment is 0.0 μB/f.u.

Lattice parameters (Å, degrees): 3.555 3.555 7.012 75.31 75.31 90.00
Fractional coordinates of all 5 atoms:
Ta (0.607, 0.607, 0.785)
Ta (0.393, 0.393, 0.215)
Be (0.750, 0.250, 0.500)
Be (0.250, 0.750, 0.500)
Sn (0.000, 0.000, 0.000)

***

Below is a geometry-optimized Pr2Pd2Pt5Au structure, with properties calculated at the PBE level.

Values from the calculation:
Its electronic total energy is -120.04 eV for the cell shown. Its total moment is 0.0 μB/f.u.

Lattice parameters (Å, degrees): 4.239 9.477 9.477 90.00 90.00 90.00
Fractional coordinates of all 20 atoms:
Pt (0.500, 0.704, 0.440)
Pt (0.500, 0.560, 0.704)
Pt (0.500, 0.060, 0.796)
Pt (0.500, 0.796, 0.940)
Pt (0.500, 0.440, 0.296)
Pt (0.500, 0.500, 0.000)
Pt (0.500, 0.940, 0.204)
Pt (0.500, 0.000, 0.500)
Pt (0.500, 0.296, 0.560)
Pt (0.500, 0.204, 0.060)
Pd (0.000, 0.379, 0.121)
Pd (0.000, 0.621, 0.879)
Pd (0.000, 0.121, 0.621)
Pd (0.000, 0.879, 0.379)
Au (0.000, 0.500, 0.500)
Au (0.000, 0.000, 0.000)
Pr (0.000, 0.823, 0.677)
Pr (0.000, 0.677, 0.177)
Pr (0.000, 0.177, 0.323)
Pr (0.000, 0.323, 0.823)

***

Below is a geometry-optimized CdTcAs structure, with properties calculated at the PBE level.

Values from the calculation:
The calculation puts the energy above the most stable polymorph in this dataset at 0.3142 eV per atom. Its total moment is 0.0 μB/f.u.

Lattice parameters (Å, degrees): 7.559 7.327 2.968 82.93 74.14 22.93
Fractional coordinates of all 3 atoms:
Cd (0.317, 0.317, 0.683)
Tc (0.653, 0.653, 0.347)
As (0.030, 0.030, 0.970)

***

Below is a geometry-optimized Sc2TaAgC structure, with properties calculated at the PBE level.

Values from the calculation:
Its electronic total energy is -37.77 eV for the cell shown. Its total moment is 0.0 μB/f.u.

Lattice parameters (Å, degrees): 4.500 4.500 4.304 90.00 90.00 90.00
Fractional coordinates of all 5 atoms:
Sc (0.500, 0.000, 0.000)
Sc (0.000, 0.500, 0.000)
Ta (0.000, 0.000, 0.500)
Ag (0.500, 0.500, 0.500)
C (0.000, 0.000, 0.000)

***

Below is a geometry-optimized SrZn4Ni9 structure, with properties calculated at the PBE level.

Values from the calculation:
Its electronic total energy is -122.79 eV for the cell shown. Its total moment is 1.1 μB/f.u.

Lattice parameters (Å, degrees): 8.108 8.108 8.168 119.76 119.76 90.00
Fractional coordinates of all 28 atoms:
Ni (0.936, 0.795, 0.000)
Ni (0.500, 0.000, 0.000)
Ni (0.795, 0.064, 0.000)
Ni (0.295, 0.436, 0.000)
Ni (0.064, 0.205, 0.000)
Ni (0.435, 0.935, 0.649)
Ni (0.565, 0.065, 0.351)
Ni (0.287, 0.565, 0.351)
Ni (0.787, 0.287, 0.351)
Ni (0.213, 0.713, 0.649)
Ni (0.935, 0.213, 0.649)
Ni (0.705, 0.564, 0.000)
Ni (0.065, 0.787, 0.351)
Ni (0.205, 0.936, 0.000)
Ni (0.436, 0.705, 0.000)
Ni (0.000, 0.500, 0.000)
Ni (0.564, 0.295, 0.000)
Ni (0.713, 0.435, 0.649)
Zn (0.940, 0.440, 0.244)
Zn (0.060, 0.560, 0.756)
Zn (0.440, 0.304, 0.244)
Zn (0.304, 0.804, 0.244)
Zn (0.560, 0.696, 0.756)
Zn (0.804, 0.940, 0.244)
Zn (0.196, 0.060, 0.756)
Zn (0.696, 0.196, 0.756)
Sr (0.250, 0.250, 0.500)
Sr (0.750, 0.750, 0.500)

***

Below is a geometry-optimized AcCuH3 structure, with properties calculated at the PBE level.

Values from the calculation:
The calculation puts the energy above the most stable polymorph in this dataset at 0.0000 eV per atom. Its total moment is 0.0 μB/f.u.

Lattice parameters (Å, degrees): 7.143 7.143 7.143 40.97 40.97 40.97
Fractional coordinates of all 10 atoms:
Cu (0.542, 0.542, 0.542)
Cu (0.042, 0.042, 0.042)
H (0.734, 0.734, 0.188)
H (0.734, 0.188, 0.734)
H (0.234, 0.234, 0.688)
H (0.688, 0.234, 0.234)
H (0.234, 0.688, 0.234)
H (0.188, 0.734, 0.734)
Ac (0.773, 0.773, 0.773)
Ac (0.273, 0.273, 0.273)

***

Below is a geometry-optimized LaZrW2 structure, with properties calculated at the PBE level.

Values from the calculation:
The calculation puts the energy above the most stable polymorph in this dataset at 0.3839 eV per atom. Its total moment is 0.0 μB/f.u.

Lattice parameters (Å, degrees): 2.831 2.831 10.303 90.00 90.00 90.00
Fractional coordinates of all 4 atoms:
La (0.500, 0.500, 0.750)
W (0.000, 0.000, 0.019)
W (0.000, 0.000, 0.481)
Zr (0.500, 0.500, 0.250)

***

Below is a geometry-optimized Cr2PbCl structure, with properties calculated at the PBE level.

Values from the calculation:
The calculation puts the energy above the most stable polymorph in this dataset at 0.3386 eV per atom. The value obtained for the uncorrected formation energy is 0.40 eV per atom. Its total moment is 8.9 μB/f.u.

Lattice parameters (Å, degrees): 3.324 3.324 7.574 90.00 90.00 90.00
Fractional coordinates of all 4 atoms:
Cr (0.000, 0.000, 0.514)
Cr (0.000, 0.000, 0.986)
Cl (0.500, 0.500, 0.750)
Pb (0.500, 0.500, 0.250)

***

Below is a geometry-optimized AcMgSbIr structure, with properties calculated at the PBE level.

Values from the calculation:
The value obtained for the uncorrected formation energy is -0.21 eV per atom. Its total moment is 0.0 μB/f.u.

Lattice parameters (Å, degrees): 5.113 5.113 5.113 60.00 60.00 60.00
Fractional coordinates of all 4 atoms:
Mg (0.000, 0.000, 0.000)
Sb (0.750, 0.750, 0.750)
Ir (0.500, 0.500, 0.500)
Ac (0.250, 0.250, 0.250)

***

Below is a geometry-optimized CsTlIBr2 structure, with properties calculated at the PBE level.

Values from the calculation:
The value obtained for the uncorrected formation energy is -1.01 eV per atom. Its total moment is 0.0 μB/f.u.

Lattice parameters (Å, degrees): 5.928 5.928 6.179 90.00 90.00 90.00
Fractional coordinates of all 5 atoms:
Tl (0.000, 0.000, 0.000)
Cs (0.500, 0.500, 0.500)
I (0.000, 0.000, 0.500)
Br (0.500, 0.000, 0.000)
Br (0.000, 0.500, 0.000)

***

Below is a geometry-optimized LiCo2Bi structure, with properties calculated at the PBE level.

Values from the calculation:
Its electronic total energy is -35.37 eV for the cell shown. Its total moment is 2.6 μB/f.u.

Lattice parameters (Å, degrees): 7.075 7.075 5.621 51.00 51.00 90.00
Fractional coordinates of all 8 atoms:
Co (0.607, 0.125, 0.250)
Co (0.875, 0.857, 0.750)
Co (0.143, 0.625, 0.250)
Co (0.375, 0.393, 0.750)
Li (0.250, 0.750, 0.500)
Li (0.500, 0.500, 0.000)
Bi (0.000, 0.000, 0.000)
Bi (0.750, 0.250, 0.500)

***

Below is a geometry-optimized Tb2NdTcN4 structure, with properties calculated at the PBE level.

Values from the calculation:
The value obtained for the uncorrected formation energy is -1.07 eV per atom. Its total moment is 0.0 μB/f.u.

Lattice parameters (Å, degrees): 3.476 6.137 11.671 90.00 90.00 106.45
Fractional coordinates of all 16 atoms:
N (0.264, 0.528, 0.371)
N (0.736, 0.472, 0.871)
N (0.000, 0.000, 0.500)
N (0.000, 0.000, 0.000)
N (0.736, 0.472, 0.629)
N (0.264, 0.528, 0.129)
N (0.562, 0.124, 0.250)
N (0.438, 0.876, 0.750)
Tb (0.631, 0.263, 0.040)
Tb (0.369, 0.737, 0.540)
Tb (0.631, 0.263, 0.460)
Tb (0.369, 0.737, 0.960)
Tc (0.858, 0.716, 0.750)
Tc (0.142, 0.284, 0.250)
Nd (0.878, 0.755, 0.250)
Nd (0.122, 0.245, 0.750)